The following is a GGA-PBE calculation of Er2Cd2Hg3 after structural relaxation, from Alexandria.

Lattice parameters (Å, degrees): 8.6113 4.9723 8.7943 90.00 108.93 90.00
Sites, in units of the cell vectors:
Er (0.1161, 0.0000, 0.3477)
Er (0.3839, 0.5000, 0.6523)
Er (0.6161, 0.5000, 0.3477)
Er (0.8839, 0.0000, 0.6523)
Cd (0.1318, 0.5000, 0.8967)
Cd (0.3682, 0.0000, 0.1033)
Cd (0.6318, 0.0000, 0.8967)
Cd (0.8682, 0.5000, 0.1033)
Hg (0.0000, 0.5000, 0.5000)
Hg (0.2490, 0.5000, 0.2457)
Hg (0.2510, 0.0000, 0.7543)
Hg (0.5000, 0.0000, 0.5000)
Hg (0.7490, 0.0000, 0.2457)
Hg (0.7510, 0.5000, 0.7543)

As for the formation energy from the elements: -251 meV per atom. Its density of states at the Fermi level is 4.15 states/eV/f.u.